#w
As2RuAu PBE-GGA relaxed; DOS at the Fermi energy = 2.700 states/eV/cell; space-group type = P4/mmm, No. 123
1.0
2.9672 0.0000 0.0000
0.0000 2.9672 0.0000
0.0000 0.0000 8.0578
As Ru Au
2 1 1
Direct
0.0000 0.0000 0.1984 As
0.0000 0.0000 0.8016 As
0.5000 0.5000 0.0000 Ru
0.5000 0.5000 0.5000 Au



#x
As2RuAu PBE-GGA relaxed; DOS at the Fermi energy = 2.086 states/eV/cell; space-group type = R-3m, No. 166
1.0
1.5531 0.8967 8.2158
-1.5531 0.8967 8.2158
0.0000 -1.7934 8.2158
As Ru Au
2 1 1
Direct
0.2409 0.2409 0.2409 As
0.7591 0.7591 0.7591 As
0.5000 0.5000 0.5000 Ru
0.0000 0.0000 0.0000 Au



#y
As2RuAu PBE-GGA relaxed; DOS at the Fermi energy = 3.663 states/eV/cell; space-group type = P4/mmm, No. 123
1.0
4.5485 0.0000 0.0000
0.0000 4.5485 0.0000
0.0000 0.0000 3.2379
As Ru Au
2 1 1
Direct
0.0000 0.5000 0.0000 As
0.5000 0.0000 0.0000 As
0.0000 0.0000 0.5000 Ru
0.5000 0.5000 0.5000 Au



#z
As2RuAu PBE-GGA relaxed; DOS at the Fermi energy = 4.949 states/eV/cell; space-group type = F-43m, No. 216
1.0
0.0000 3.2505 3.2505
3.2505 0.0000 3.2505
3.2505 3.2505 0.0000
As Ru Au
2 1 1
Direct
0.0000 0.0000 0.0000 As
0.2500 0.2500 0.2500 As
0.5000 0.5000 0.5000 Ru
0.7500 0.7500 0.7500 Au



Short version: #x, #w, #y, #z, most stable first.



#w
As2RuAu PBE-GGA relaxed; DOS at the Fermi energy = 3.039 states/eV/cell; space-group type = P4mm, No. 99
1.0
2.9929 0.0000 0.0000
0.0000 2.9929 0.0000
0.0000 0.0000 8.0413
As Ru Au
2 1 1
Direct
0.0000 0.0000 0.0000 As
0.5000 0.5000 0.3425 As
0.5000 0.5000 0.8352 Ru
0.0000 0.0000 0.5808 Au



#x
As2RuAu PBE-GGA relaxed; DOS at the Fermi energy = 1.853 states/eV/cell; space-group type = Pmm2, No. 25
1.0
3.1866 0.0000 0.0000
0.0000 3.9327 0.0000
0.0000 0.0000 5.4768
As Ru Au
2 1 1
Direct
0.0000 0.0000 0.0000 As
0.5000 0.5000 0.3685 As
0.5000 0.5000 0.8508 Ru
0.0000 0.0000 0.5300 Au



#y
As2RuAu PBE-GGA relaxed; DOS at the Fermi energy = 1.928 states/eV/cell; space-group type = I-4m2, No. 119
1.0
-1.9418 1.9418 4.4206
1.9418 -1.9418 4.4206
1.9418 1.9418 -4.4206
As Ru Au
2 1 1
Direct
0.0000 0.0000 0.0000 As
0.7500 0.2500 0.5000 As
0.5000 0.5000 0.0000 Ru
0.2500 0.7500 0.5000 Au



Short version: #w, #x, #y, most stable first.



#w
AsRuAu PBE-GGA relaxed; DOS at the Fermi energy = 1.782 states/eV/cell; space-group type = Fmm2, No. 42
1.0
0.0000 2.3892 7.1613
1.5988 0.0000 7.1613
1.5988 2.3892 0.0000
As Ru Au
1 1 1
Direct
0.0000 0.0000 0.0000 As
0.3774 0.3774 0.6226 Ru
0.7127 0.7127 0.2873 Au



#x
AsRuAu PBE-GGA relaxed; DOS at the Fermi energy = 1.967 states/eV/cell; space-group type = F-43m, No. 216
1.0
0.0000 3.0327 3.0327
3.0327 0.0000 3.0327
3.0327 3.0327 0.0000
As Ru Au
1 1 1
Direct
0.0000 0.0000 0.0000 As
0.7500 0.7500 0.7500 Ru
0.5000 0.5000 0.5000 Au



#y
AsRuAu PBE-GGA relaxed; DOS at the Fermi energy = 1.863 states/eV/cell; space-group type = P3m1, No. 156
1.0
4.0614 0.0000 0.0000
-2.0307 3.5172 0.0000
0.0000 0.0000 3.5898
As Ru Au
1 1 1
Direct
0.0000 0.0000 0.0000 As
0.6667 0.3333 0.8844 Ru
0.3333 0.6667 0.4174 Au



Short version: #y, #x, #w, most stable first.



#w
AsRu3Au PBE-GGA relaxed; DOS at the Fermi energy = 6.281 states/eV/cell; space-group type = Pm-3m, No. 221
1.0
4.5253 0.0000 0.0000
0.0000 4.5253 0.0000
0.0000 0.0000 4.5253
As Ru Au
1 3 1
Direct
0.0000 0.0000 0.0000 As
0.0000 0.0000 0.5000 Ru
0.0000 0.5000 0.0000 Ru
0.5000 0.0000 0.0000 Ru
0.5000 0.5000 0.5000 Au



#x
AsRu3Au PBE-GGA relaxed; DOS at the Fermi energy = 4.733 states/eV/cell; space-group type = Pm-3m, No. 221
1.0
4.8754 0.0000 0.0000
0.0000 4.8754 0.0000
0.0000 0.0000 4.8754
As Ru Au
1 3 1
Direct
0.0000 0.0000 0.0000 As
0.0000 0.5000 0.5000 Ru
0.5000 0.0000 0.5000 Ru
0.5000 0.5000 0.0000 Ru
0.5000 0.5000 0.5000 Au



Short version: #w, #x, most stable first.



#w
As2AuS4 PBE-GGA relaxed; DOS at the Fermi energy = 3.990 states/eV/cell; space-group type = I4/mmm, No. 139
1.0
-2.4690 2.4690 8.9058
2.4690 -2.4690 8.9058
2.4690 2.4690 -8.9058
As Au S
2 1 4
Direct
0.0830 0.0830 0.0000 As
0.9170 0.9170 0.0000 As
0.5000 0.5000 0.0000 Au
0.0000 0.5000 0.5000 S
0.1973 0.1973 0.0000 S
0.5000 0.0000 0.5000 S
0.8027 0.8027 0.0000 S



#x
As2AuS4 PBE-GGA relaxed; DOS at the Fermi energy = 3.145 states/eV/cell; space-group type = I4/m, No. 87
1.0
-3.4733 3.4733 3.4203
3.4733 -3.4733 3.4203
3.4733 3.4733 -3.4203
As Au S
2 1 4
Direct
0.2500 0.7500 0.5000 As
0.7500 0.2500 0.5000 As
0.0000 0.0000 0.0000 Au
0.1810 0.6977 0.8787 S
0.3023 0.1810 0.4833 S
0.6977 0.8190 0.5167 S
0.8190 0.3023 0.1213 S



Short version: #x, #w, most stable first.



#w
AsAuSe2S PBE-GGA relaxed; DOS at the Fermi energy = 6.537 states/eV/cell; space-group type = P4/mmm, No. 123
1.0
5.0683 0.0000 0.0000
0.0000 5.0683 0.0000
0.0000 0.0000 5.0066
As Au Se S
1 1 2 1
Direct
0.0000 0.0000 0.0000 As
0.0000 0.0000 0.5000 Au
0.0000 0.5000 0.5000 Se
0.5000 0.0000 0.5000 Se
0.5000 0.5000 0.0000 S



#x
AsAuSe2S PBE-GGA relaxed; DOS at the Fermi energy = 5.741 states/eV/cell; space-group type = P4/mmm, No. 123
1.0
4.8041 0.0000 0.0000
0.0000 4.8041 0.0000
0.0000 0.0000 4.8907
As Au Se S
1 1 2 1
Direct
0.0000 0.0000 0.0000 As
0.5000 0.5000 0.0000 Au
0.0000 0.5000 0.5000 Se
0.5000 0.0000 0.5000 Se
0.0000 0.0000 0.5000 S



Short version: #x, #w, most stable first.



#w
Sb2As2Au PBE-GGA relaxed; DOS at the Fermi energy = 5.349 states/eV/cell; space-group type = P4/mbm, No. 127
1.0
7.8152 0.0000 0.0000
0.0000 7.8152 0.0000
0.0000 0.0000 3.9399
Sb As Au
4 4 2
Direct
0.1597 0.3403 0.0000 Sb
0.3403 0.8403 0.0000 Sb
0.6597 0.1597 0.0000 Sb
0.8403 0.6597 0.0000 Sb
0.1730 0.6730 0.5000 As
0.3270 0.1730 0.5000 As
0.6730 0.8270 0.5000 As
0.8270 0.3270 0.5000 As
0.0000 0.0000 0.5000 Au
0.5000 0.5000 0.5000 Au



#x
Sb2As2Au PBE-GGA relaxed; DOS at the Fermi energy = 1.802 states/eV/cell; space-group type = P-1, No. 2
1.0
4.1667 0.0000 0.0000
0.4251 5.3711 0.0000
1.9138 2.3505 5.9294
Sb As Au
2 2 1
Direct
0.2479 0.2081 0.4333 Sb
0.7521 0.7919 0.5667 Sb
0.0393 0.2951 0.8267 As
0.9607 0.7049 0.1733 As
0.5000 0.0000 0.0000 Au



#y
Sb2As2Au PBE-GGA relaxed; DOS at the Fermi energy = 2.951 states/eV/cell; space-group type = I4/mmm, No. 139
1.0
-2.8234 2.8234 3.9408
2.8234 -2.8234 3.9408
2.8234 2.8234 -3.9408
Sb As Au
2 2 1
Direct
0.2500 0.7500 0.5000 Sb
0.7500 0.2500 0.5000 Sb
0.1740 0.1740 0.0000 As
0.8260 0.8260 0.0000 As
0.5000 0.5000 0.0000 Au



#z
Sb2As2Au PBE-GGA relaxed; DOS at the Fermi energy = 5.584 states/eV/cell; space-group type = P4/mbm, No. 127
1.0
7.9412 0.0000 0.0000
0.0000 7.9412 0.0000
0.0000 0.0000 3.8431
Sb As Au
4 4 2
Direct
0.1806 0.3194 0.0000 Sb
0.3194 0.8194 0.0000 Sb
0.6806 0.1806 0.0000 Sb
0.8194 0.6806 0.0000 Sb
0.1470 0.6470 0.5000 As
0.3530 0.1470 0.5000 As
0.6470 0.8530 0.5000 As
0.8530 0.3530 0.5000 As
0.0000 0.0000 0.0000 Au
0.5000 0.5000 0.0000 Au



Short version: #x, #y, #w, #z, most stable first.



#w
SbAs2Au2 PBE-GGA relaxed; DOS at the Fermi energy = 2.322 states/eV/cell; space-group type = I4/mmm, No. 139
1.0
-1.9705 1.9705 7.0027
1.9705 -1.9705 7.0027
1.9705 1.9705 -7.0027
Sb As Au
1 2 2
Direct
0.0000 0.0000 0.0000 Sb
0.3954 0.3954 0.0000 As
0.6046 0.6046 0.0000 As
0.2500 0.7500 0.5000 Au
0.7500 0.2500 0.5000 Au



#x
SbAs2Au2 PBE-GGA relaxed; DOS at the Fermi energy = 3.022 states/eV/cell; space-group type = I4/mmm, No. 139
1.0
-2.0692 2.0692 6.3413
2.0692 -2.0692 6.3413
2.0692 2.0692 -6.3413
Sb As Au
1 2 2
Direct
0.0000 0.0000 0.0000 Sb
0.2500 0.7500 0.5000 As
0.7500 0.2500 0.5000 As
0.3936 0.3936 0.0000 Au
0.6064 0.6064 0.0000 Au



Short version: #x, #w, most stable first.



#w
Sb3AsAu PBE-GGA relaxed; DOS at the Fermi energy = 6.442 states/eV/cell; space-group type = Pm-3m, No. 221
1.0
5.3597 0.0000 0.0000
0.0000 5.3597 0.0000
0.0000 0.0000 5.3597
Sb As Au
3 1 1
Direct
0.0000 0.0000 0.5000 Sb
0.0000 0.5000 0.0000 Sb
0.5000 0.0000 0.0000 Sb
0.5000 0.5000 0.5000 As
0.0000 0.0000 0.0000 Au



#x
Sb3AsAu PBE-GGA relaxed; DOS at the Fermi energy = 5.622 states/eV/cell; space-group type = Pm-3m, No. 221
1.0
5.3356 0.0000 0.0000
0.0000 5.3356 0.0000
0.0000 0.0000 5.3356
Sb As Au
3 1 1
Direct
0.0000 0.0000 0.5000 Sb
0.0000 0.5000 0.0000 Sb
0.5000 0.0000 0.0000 Sb
0.0000 0.0000 0.0000 As
0.5000 0.5000 0.5000 Au



Short version: #w, #x, most stable first.



#w
Sb2TeAsAu PBE-GGA relaxed; DOS at the Fermi energy = 5.566 states/eV/cell; space-group type = P4/mmm, No. 123
1.0
5.3490 0.0000 0.0000
0.0000 5.3490 0.0000
0.0000 0.0000 5.4192
Sb Te As Au
2 1 1 1
Direct
0.0000 0.5000 0.0000 Sb
0.5000 0.0000 0.0000 Sb
0.0000 0.0000 0.5000 Te
0.5000 0.5000 0.5000 As
0.0000 0.0000 0.0000 Au



#x
Sb2TeAsAu PBE-GGA relaxed; DOS at the Fermi energy = 4.050 states/eV/cell; space-group type = P4/mmm, No. 123
1.0
5.3376 0.0000 0.0000
0.0000 5.3376 0.0000
0.0000 0.0000 5.4292
Sb Te As Au
2 1 1 1
Direct
0.0000 0.5000 0.0000 Sb
0.5000 0.0000 0.0000 Sb
0.0000 0.0000 0.5000 Te
0.0000 0.0000 0.0000 As
0.5000 0.5000 0.5000 Au



Short version: #w, #x, most stable first.



#w
ScAsAu3 PBE-GGA relaxed; DOS at the Fermi energy = 3.870 states/eV/cell; space-group type = Pm-3m, No. 221
1.0
5.0767 0.0000 0.0000
0.0000 5.0767 0.0000
0.0000 0.0000 5.0767
Sc As Au
1 1 3
Direct
0.0000 0.0000 0.0000 Sc
0.5000 0.5000 0.5000 As
0.0000 0.0000 0.5000 Au
0.0000 0.5000 0.0000 Au
0.5000 0.0000 0.0000 Au



#x
ScAsAu3 PBE-GGA relaxed; DOS at the Fermi energy = 8.140 states/eV/cell; space-group type = Pm-3m, No. 221
1.0
4.8858 0.0000 0.0000
0.0000 4.8858 0.0000
0.0000 0.0000 4.8858
Sc As Au
1 1 3
Direct
0.0000 0.0000 0.0000 Sc
0.5000 0.5000 0.5000 As
0.0000 0.5000 0.5000 Au
0.5000 0.0000 0.5000 Au
0.5000 0.5000 0.0000 Au



Short version: #x, #w, most stable first.